VASP calculation (GGA-PBE) on a geometry-optimized Tb2ScAs3 structure.

Output
* DFT formation energy: -1.45 eV per atom
* raw total energy: -6.378 eV per atom
* symmetry: I4/mmm, No. 139

The structure in POSCAR format:
```
Tb2ScAs3
1.0
-2.035 2.035 8.589
2.035 -2.035 8.589
2.035 2.035 -8.589
Tb Sc As
2 1 3
Cartesian
0.000 0.000 2.854
0.000 0.000 14.323
0.000 0.000 8.589
0.000 0.000 0.000
0.000 0.000 5.802
0.000 0.000 11.376
```